The following is a PBE-GGA calculation of a relaxed Pm3MgRh crystal, from the Alexandria database.

## Properties
Symmetry: Pm-3m, No. 221
Volume in A^3/atom: 33.3
Energy above the most stable polymorph in this dataset in eV per atom: 0.137
DFT total energy in eV per cell: -24.1
M_tot in Bohr magnetons per cell: 0.0
ρ in g cm⁻³: 5.61

abc: 5.501 5.501 5.501
angles: 90.00 90.00 90.00
Sites, in units of the cell vectors:
Mg (0.500, 0.500, 0.500)
Rh (0.000, 0.000, 0.000)
Pm (0.000, 0.500, 0.000)
Pm (0.000, 0.000, 0.500)
Pm (0.500, 0.000, 0.000)



The following is a PBE-GGA calculation of a relaxed Np2AgI8 crystal, from the Alexandria database.

## Properties
Symmetry: C2/m, No. 12
Formation energy (no corrections) in eV per atom: -0.682
Volume in A^3/atom: 42.9
Energy above the most stable polymorph in this dataset in eV per atom: 0.000
DFT total energy in eV per cell: -48.6
M_tot in Bohr magnetons per cell: 7.0
ρ in g cm⁻³: 5.63

abc: 4.129 10.615 10.950
angles: 90.63 100.87 90.00
Sites, in units of the cell vectors:
Np (0.150, 0.740, 0.300)
Np (0.850, 0.260, 0.700)
Ag (0.500, 0.000, 0.000)
I (0.599, 0.545, 0.198)
I (0.350, 0.035, 0.700)
I (0.240, 0.305, 0.480)
I (0.007, 0.802, 0.013)
I (0.760, 0.695, 0.520)
I (0.650, 0.965, 0.300)
I (0.401, 0.455, 0.802)
I (0.993, 0.198, 0.987)



The following is a PBE-GGA calculation of a relaxed Tm2ZnSi2Rh5 crystal, from the Alexandria database.

## Properties
Symmetry: P4/mbm, No. 127
Formation energy (no corrections) in eV per atom: -0.951
Volume in A^3/atom: 16.0
DFT total energy in eV per cell: -134.7
M_tot in Bohr magnetons per cell: 0.0
ρ in g cm⁻³: 10.11

abc: 3.420 9.671 9.671
angles: 90.00 90.00 90.00
Sites, in units of the cell vectors:
Tm (0.000, 0.673, 0.173)
Tm (0.000, 0.327, 0.827)
Tm (0.000, 0.173, 0.327)
Tm (0.000, 0.827, 0.673)
Zn (0.000, 0.000, 0.000)
Zn (0.000, 0.500, 0.500)
Si (0.000, 0.127, 0.627)
Si (0.000, 0.873, 0.373)
Si (0.000, 0.627, 0.873)
Si (0.000, 0.373, 0.127)
Rh (0.500, 0.210, 0.069)
Rh (0.500, 0.790, 0.931)
Rh (0.500, 0.069, 0.790)
Rh (0.500, 0.710, 0.431)
Rh (0.500, 0.931, 0.210)
Rh (0.500, 0.290, 0.569)
Rh (0.500, 0.569, 0.710)
Rh (0.500, 0.431, 0.290)
Rh (0.500, 0.500, 0.000)
Rh (0.500, 0.000, 0.500)



The following is a PBE-GGA calculation of a relaxed Li4Au2I crystal, from the Alexandria database.

## Properties
Symmetry: I4/mmm, No. 139
Formation energy (no corrections) in eV per atom: -0.329
Volume in A^3/atom: 26.0
DFT total energy in eV per cell: -18.1
M_tot in Bohr magnetons per cell: 0.0
ρ in g cm⁻³: 5.01

abc: 5.190 5.190 7.682
angles: 70.26 70.26 90.00
Sites, in units of the cell vectors:
I (0.000, 0.000, 0.000)
Au (0.396, 0.396, 0.209)
Au (0.604, 0.604, 0.791)
Li (0.207, 0.207, 0.587)
Li (0.793, 0.793, 0.413)
Li (0.000, 0.500, 0.000)
Li (0.500, 0.000, 0.000)



The following is a PBE-GGA calculation of a relaxed MnZnSiB2 crystal, from the Alexandria database.

## Properties
Symmetry: P4/mmm, No. 123
Formation energy (no corrections) in eV per atom: 0.770
Volume in A^3/atom: 13.2
DFT total energy in eV per cell: -25.4
M_tot in Bohr magnetons per cell: 0.0
ρ in g cm⁻³: 4.29

abc: 3.878 4.379 3.878
angles: 90.00 90.00 90.00
Sites, in units of the cell vectors:
Zn (0.500, 0.500, 0.500)
Mn (0.000, 0.000, 0.000)
Si (0.000, 0.500, 0.000)
B (0.000, 0.000, 0.500)
B (0.500, 0.000, 0.000)



The following is a PBE-GGA calculation of a relaxed ZrZnGe crystal, from the Alexandria database.

## Properties
Symmetry: I4mm, No. 107
Volume in A^3/atom: 18.0
DFT total energy in eV per cell: -15.1
M_tot in Bohr magnetons per cell: 0.0
ρ in g cm⁻³: 7.04

abc: 3.241 3.241 5.636
angles: 106.71 106.71 90.00
Sites, in units of the cell vectors:
Ge (0.933, 0.933, 0.867)
Zn (0.297, 0.297, 0.595)
Zr (0.619, 0.619, 0.239)



The following is a PBE-GGA calculation of a relaxed NaLi12Bi6 crystal, from the Alexandria database.

## Properties
Symmetry: R-3m, No. 166
Volume in A^3/atom: 24.9
DFT total energy in eV per cell: -53.5
M_tot in Bohr magnetons per cell: 0.0
ρ in g cm⁻³: 4.78

abc: 8.072 8.072 8.072
angles: 103.64 103.64 103.64
Sites, in units of the cell vectors:
Na (0.000, 0.000, 0.000)
Li (0.889, 0.111, 0.500)
Li (0.863, 0.565, 0.565)
Li (0.565, 0.565, 0.863)
Li (0.435, 0.137, 0.435)
Li (0.435, 0.435, 0.137)
Li (0.137, 0.435, 0.435)
Li (0.111, 0.500, 0.889)
Li (0.500, 0.889, 0.111)
Li (0.111, 0.889, 0.500)
Li (0.889, 0.500, 0.111)
Li (0.500, 0.111, 0.889)
Li (0.565, 0.863, 0.565)
Bi (0.719, 0.251, 0.251)
Bi (0.251, 0.251, 0.719)
Bi (0.251, 0.719, 0.251)
Bi (0.749, 0.749, 0.281)
Bi (0.281, 0.749, 0.749)
Bi (0.749, 0.281, 0.749)



The following is a PBE-GGA calculation of a relaxed MnReSe2 crystal, from the Alexandria database.

## Properties
Symmetry: Immm, No. 71
Formation energy (no corrections) in eV per atom: 0.037
Volume in A^3/atom: 22.5
Energy above the most stable polymorph in this dataset in eV per atom: 0.173
DFT total energy in eV per cell: -28.4
M_tot in Bohr magnetons per cell: 2.4
ρ in g cm⁻³: 7.38

abc: 7.149 7.149 7.149
angles: 149.50 150.95 42.62
Sites, in units of the cell vectors:
Mn (0.750, 0.250, 0.500)
Re (0.250, 0.750, 0.500)
Se (0.119, 0.119, 0.000)
Se (0.381, 0.381, 0.000)